[1]
! WSeNO2 (PBEsol, relaxed); values from VASP
! Raw total energy: -6.2698 eV per atom
! Raw formation energy: 1067 meV/atom
! SG: No. 123
! Spin magnetization: 3.1 μB per formula unit
&SYSTEM
  ibrav = 0, nat = 5, ntyp = 4
/
ATOMIC_SPECIES
W 183.84 W.upf
Se 78.96 Se.upf
N 14.01 N.upf
O 16.00 O.upf
ATOMIC_POSITIONS crystal
W 0.0000 0.0000 0.0000
Se 0.5000 0.5000 0.5000
N 0.5000 0.5000 0.0000
O 0.0000 0.5000 0.5000
O 0.5000 0.0000 0.5000
CELL_PARAMETERS angstrom
3.7551 0.0000 0.0000
0.0000 3.7551 0.0000
0.0000 0.0000 4.1308


[2]
! WSeN2O (PBEsol, relaxed); values from VASP
! Raw total energy: -6.1731 eV per atom
! Raw formation energy: 1819 meV/atom
! SG: No. 123
! Spin magnetization: 0.0 μB per formula unit
&SYSTEM
  ibrav = 0, nat = 5, ntyp = 4
/
ATOMIC_SPECIES
W 183.84 W.upf
Se 78.96 Se.upf
N 14.01 N.upf
O 16.00 O.upf
ATOMIC_POSITIONS crystal
W 0.0000 0.0000 0.0000
Se 0.5000 0.5000 0.0000
N 0.0000 0.5000 0.5000
N 0.5000 0.0000 0.5000
O 0.5000 0.5000 0.5000
CELL_PARAMETERS angstrom
3.8041 0.0000 0.0000
0.0000 3.8041 0.0000
0.0000 0.0000 3.6737


[3]
! Si2N2O (PBEsol, relaxed); values from VASP
! Raw total energy: -8.5094 eV per atom
! Raw formation energy: -1750 meV/atom
! SG: No. 36
! Spin magnetization: 0.0 μB per formula unit
&SYSTEM
  ibrav = 0, nat = 10, ntyp = 3
/
ATOMIC_SPECIES
Si 28.09 Si.upf
N 14.01 N.upf
O 16.00 O.upf
ATOMIC_POSITIONS crystal
Si 0.0261 0.3275 0.0000
Si 0.3275 0.0261 0.5000
Si 0.6725 0.9739 0.0000
Si 0.9739 0.6725 0.5000
N 0.0948 0.3426 0.3449
N 0.3426 0.0948 0.8449
N 0.6574 0.9052 0.3449
N 0.9052 0.6574 0.8449
O 0.2106 0.7894 0.4482
O 0.7894 0.2106 0.9482
CELL_PARAMETERS angstrom
4.4656 -2.7605 0.0000
4.4656 2.7605 0.0000
0.0000 0.0000 4.8670


[4]
! SiN2O2 (PBEsol, relaxed); values from VASP
! Raw total energy: -5.8737 eV per atom
! Raw formation energy: 786 meV/atom
! SG: No. 123
! Spin magnetization: 0.4 μB per formula unit
&SYSTEM
  ibrav = 0, nat = 5, ntyp = 3
/
ATOMIC_SPECIES
Si 28.09 Si.upf
N 14.01 N.upf
O 16.00 O.upf
ATOMIC_POSITIONS crystal
Si 0.0000 0.0000 0.0000
N 0.0000 0.5000 0.0000
N 0.5000 0.0000 0.0000
O 0.0000 0.0000 0.5000
O 0.5000 0.5000 0.5000
CELL_PARAMETERS angstrom
3.6506 0.0000 0.0000
0.0000 3.6506 0.0000
0.0000 0.0000 3.3237


[5]
! SiSnNO2 (PBEsol, relaxed); values from VASP
! Raw total energy: -5.7156 eV per atom
! Raw formation energy: 91 meV/atom
! SG: No. 123
! Spin magnetization: 1.0 μB per formula unit
&SYSTEM
  ibrav = 0, nat = 5, ntyp = 4
/
ATOMIC_SPECIES
Si 28.09 Si.upf
Sn 118.71 Sn.upf
N 14.01 N.upf
O 16.00 O.upf
ATOMIC_POSITIONS crystal
Si 0.0000 0.0000 0.0000
Sn 0.5000 0.5000 0.5000
N 0.5000 0.5000 0.0000
O 0.0000 0.5000 0.5000
O 0.5000 0.0000 0.5000
CELL_PARAMETERS angstrom
3.9865 0.0000 0.0000
0.0000 3.9865 0.0000
0.0000 0.0000 4.1428


[6]
! SrSiNO2 (PBEsol, relaxed); values from VASP
! Raw total energy: -4.5023 eV per atom
! Raw formation energy: 820 meV/atom
! SG: No. 123
! Spin magnetization: 3.0 μB per formula unit
&SYSTEM
  ibrav = 0, nat = 5, ntyp = 4
/
ATOMIC_SPECIES
Sr 87.62 Sr.upf
Si 28.09 Si.upf
N 14.01 N.upf
O 16.00 O.upf
ATOMIC_POSITIONS crystal
Sr 0.0000 0.0000 0.0000
Si 0.5000 0.5000 0.5000
N 0.0000 0.0000 0.5000
O 0.0000 0.5000 0.0000
O 0.5000 0.0000 0.0000
CELL_PARAMETERS angstrom
4.4369 0.0000 0.0000
0.0000 4.4369 0.0000
0.0000 0.0000 4.6716


[7]
! TiSiNO2 (PBEsol, relaxed); values from VASP
! Raw total energy: -7.5555 eV per atom
! Raw formation energy: -937 meV/atom
! SG: No. 123
! Spin magnetization: 0.0 μB per formula unit
&SYSTEM
  ibrav = 0, nat = 5, ntyp = 4
/
ATOMIC_SPECIES
Ti 47.87 Ti.upf
Si 28.09 Si.upf
N 14.01 N.upf
O 16.00 O.upf
ATOMIC_POSITIONS crystal
Ti 0.0000 0.0000 0.0000
Si 0.5000 0.5000 0.5000
N 0.0000 0.0000 0.5000
O 0.0000 0.5000 0.0000
O 0.5000 0.0000 0.0000
CELL_PARAMETERS angstrom
3.7585 0.0000 0.0000
0.0000 3.7585 0.0000
0.0000 0.0000 4.0367


[8]
! ZrSiNO2 (PBEsol, relaxed); values from VASP
! Raw total energy: -7.6702 eV per atom
! Raw formation energy: -898 meV/atom
! SG: No. 123
! Spin magnetization: 1.0 μB per formula unit
&SYSTEM
  ibrav = 0, nat = 5, ntyp = 4
/
ATOMIC_SPECIES
Zr 91.22 Zr.upf
Si 28.09 Si.upf
N 14.01 N.upf
O 16.00 O.upf
ATOMIC_POSITIONS crystal
Zr 0.0000 0.0000 0.0000
Si 0.5000 0.5000 0.5000
N 0.0000 0.0000 0.5000
O 0.0000 0.5000 0.0000
O 0.5000 0.0000 0.0000
CELL_PARAMETERS angstrom
4.0398 0.0000 0.0000
0.0000 4.0398 0.0000
0.0000 0.0000 4.2741


[9]
! TaSnNO2 (PBEsol, relaxed); values from VASP
! Raw total energy: -8.6713 eV per atom
! Raw formation energy: -1504 meV/atom
! SG: No. 123
! Spin magnetization: 0.0 μB per formula unit
&SYSTEM
  ibrav = 0, nat = 5, ntyp = 4
/
ATOMIC_SPECIES
Ta 180.95 Ta.upf
Sn 118.71 Sn.upf
N 14.01 N.upf
O 16.00 O.upf
ATOMIC_POSITIONS crystal
Ta 0.0000 0.0000 0.0000
Sn 0.5000 0.5000 0.5000
N 0.0000 0.0000 0.5000
O 0.0000 0.5000 0.0000
O 0.5000 0.0000 0.0000
CELL_PARAMETERS angstrom
3.9775 0.0000 0.0000
0.0000 3.9775 0.0000
0.0000 0.0000 4.1366


[10]
! SnTeNO2 (PBEsol, relaxed); values from VASP
! Raw total energy: -5.4426 eV per atom
! Raw formation energy: -80 meV/atom
! SG: No. 123
! Spin magnetization: 0.0 μB per formula unit
&SYSTEM
  ibrav = 0, nat = 5, ntyp = 4
/
ATOMIC_SPECIES
Sn 118.71 Sn.upf
Te 127.60 Te.upf
N 14.01 N.upf
O 16.00 O.upf
ATOMIC_POSITIONS crystal
Sn 0.0000 0.0000 0.0000
Te 0.5000 0.5000 0.5000
N 0.0000 0.0000 0.5000
O 0.0000 0.5000 0.0000
O 0.5000 0.0000 0.0000
CELL_PARAMETERS angstrom
3.9879 0.0000 0.0000
0.0000 3.9879 0.0000
0.0000 0.0000 4.2265


[11]
! TiSnNO2 (PBEsol, relaxed); values from VASP
! Raw total energy: -6.7777 eV per atom
! Raw formation energy: -456 meV/atom
! SG: No. 123
! Spin magnetization: 1.0 μB per formula unit
&SYSTEM
  ibrav = 0, nat = 5, ntyp = 4
/
ATOMIC_SPECIES
Ti 47.87 Ti.upf
Sn 118.71 Sn.upf
N 14.01 N.upf
O 16.00 O.upf
ATOMIC_POSITIONS crystal
Ti 0.0000 0.0000 0.0000
Sn 0.5000 0.5000 0.5000
N 0.5000 0.5000 0.0000
O 0.0000 0.5000 0.5000
O 0.5000 0.0000 0.5000
CELL_PARAMETERS angstrom
3.9354 0.0000 0.0000
0.0000 3.9354 0.0000
0.0000 0.0000 4.0842


[12]
! TlSnNO2 (PBEsol, relaxed); values from VASP
! Raw total energy: -5.3679 eV per atom
! Raw formation energy: -185 meV/atom
! SG: No. 123
! Spin magnetization: 0.0 μB per formula unit
&SYSTEM
  ibrav = 0, nat = 5, ntyp = 4
/
ATOMIC_SPECIES
Tl 204.38 Tl.upf
Sn 118.71 Sn.upf
N 14.01 N.upf
O 16.00 O.upf
ATOMIC_POSITIONS crystal
Tl 0.0000 0.0000 0.0000
Sn 0.5000 0.5000 0.5000
N 0.5000 0.5000 0.0000
O 0.0000 0.5000 0.5000
O 0.5000 0.0000 0.5000
CELL_PARAMETERS angstrom
3.9963 0.0000 0.0000
0.0000 3.9963 0.0000
0.0000 0.0000 4.3078


[13]
! SrNO3 (PBEsol, relaxed); values from VASP
! Raw total energy: -5.4538 eV per atom
! Raw formation energy: -231 meV/atom
! SG: No. 221
! Spin magnetization: 0.6 μB per formula unit
&SYSTEM
  ibrav = 0, nat = 5, ntyp = 3
/
ATOMIC_SPECIES
Sr 87.62 Sr.upf
N 14.01 N.upf
O 16.00 O.upf
ATOMIC_POSITIONS crystal
Sr 0.0000 0.0000 0.0000
N 0.5000 0.5000 0.5000
O 0.0000 0.5000 0.5000
O 0.5000 0.0000 0.5000
O 0.5000 0.5000 0.0000
CELL_PARAMETERS angstrom
3.6943 0.0000 0.0000
0.0000 3.6943 0.0000
0.0000 0.0000 3.6943


[14]
! Sr2N2O (PBEsol, relaxed); values from VASP
! Raw total energy: -6.3527 eV per atom
! Raw formation energy: -1156 meV/atom
! SG: No. 127
! Spin magnetization: 1.8 μB per formula unit
&SYSTEM
  ibrav = 0, nat = 10, ntyp = 3
/
ATOMIC_SPECIES
Sr 87.62 Sr.upf
N 14.01 N.upf
O 16.00 O.upf
ATOMIC_POSITIONS crystal
Sr 0.2102 0.2898 0.0000
Sr 0.2898 0.7898 0.0000
Sr 0.7102 0.2102 0.0000
Sr 0.7898 0.7102 0.0000
N 0.0673 0.5673 0.5000
N 0.4327 0.0673 0.5000
N 0.5673 0.9327 0.5000
N 0.9327 0.4327 0.5000
O 0.0000 0.0000 0.0000
O 0.5000 0.5000 0.0000
CELL_PARAMETERS angstrom
6.7603 0.0000 0.0000
0.0000 6.7603 0.0000
0.0000 0.0000 3.6402


[15]
! SrNO3 (PBEsol, relaxed); values from VASP
! Raw total energy: -4.1223 eV per atom
! Raw formation energy: 1101 meV/atom
! SG: No. 221
! Spin magnetization: 7.0 μB per formula unit
&SYSTEM
  ibrav = 0, nat = 5, ntyp = 3
/
ATOMIC_SPECIES
Sr 87.62 Sr.upf
N 14.01 N.upf
O 16.00 O.upf
ATOMIC_POSITIONS crystal
Sr 0.0000 0.0000 0.0000
N 0.5000 0.5000 0.5000
O 0.0000 0.0000 0.5000
O 0.0000 0.5000 0.0000
O 0.5000 0.0000 0.0000
CELL_PARAMETERS angstrom
4.9116 0.0000 0.0000
0.0000 4.9116 0.0000
0.0000 0.0000 4.9116


[16]
! SrN2O2 (PBEsol, relaxed); values from VASP
! Raw total energy: -3.9509 eV per atom
! Raw formation energy: 1928 meV/atom
! SG: No. 123
! Spin magnetization: 8.0 μB per formula unit
&SYSTEM
  ibrav = 0, nat = 5, ntyp = 3
/
ATOMIC_SPECIES
Sr 87.62 Sr.upf
N 14.01 N.upf
O 16.00 O.upf
ATOMIC_POSITIONS crystal
Sr 0.0000 0.0000 0.0000
N 0.0000 0.5000 0.0000
N 0.5000 0.0000 0.0000
O 0.0000 0.0000 0.5000
O 0.5000 0.5000 0.5000
CELL_PARAMETERS angstrom
5.1604 0.0000 0.0000
0.0000 5.1604 0.0000
0.0000 0.0000 4.5357


[17]
! SrTcNO2 (PBEsol, relaxed); values from VASP
! Raw total energy: -8.0655 eV per atom
! Raw formation energy: -1639 meV/atom
! SG: No. 123
! Spin magnetization: 0.0 μB per formula unit
&SYSTEM
  ibrav = 0, nat = 5, ntyp = 4
/
ATOMIC_SPECIES
Sr 87.62 Sr.upf
Tc 98.00 Tc.upf
N 14.01 N.upf
O 16.00 O.upf
ATOMIC_POSITIONS crystal
Sr 0.0000 0.0000 0.0000
Tc 0.5000 0.5000 0.5000
N 0.5000 0.5000 0.0000
O 0.0000 0.5000 0.5000
O 0.5000 0.0000 0.5000
CELL_PARAMETERS angstrom
3.9519 0.0000 0.0000
0.0000 3.9519 0.0000
0.0000 0.0000 3.8149


[18]
! SrWN2O (PBEsol, relaxed); values from VASP
! Raw total energy: -5.4543 eV per atom
! Raw formation energy: 2136 meV/atom
! SG: No. 123
! Spin magnetization: 1.7 μB per formula unit
&SYSTEM
  ibrav = 0, nat = 5, ntyp = 4
/
ATOMIC_SPECIES
Sr 87.62 Sr.upf
W 183.84 W.upf
N 14.01 N.upf
O 16.00 O.upf
ATOMIC_POSITIONS crystal
Sr 0.0000 0.0000 0.0000
W 0.5000 0.5000 0.5000
N 0.0000 0.5000 0.0000
N 0.5000 0.0000 0.0000
O 0.0000 0.0000 0.5000
CELL_PARAMETERS angstrom
4.2263 0.0000 0.0000
0.0000 4.2263 0.0000
0.0000 0.0000 4.2930


[19]
! SrWNO2 (PBEsol, relaxed); values from VASP
! Raw total energy: -8.9396 eV per atom
! Raw formation energy: -2005 meV/atom
! SG: No. 123
! Spin magnetization: 0.0 μB per formula unit
&SYSTEM
  ibrav = 0, nat = 5, ntyp = 4
/
ATOMIC_SPECIES
Sr 87.62 Sr.upf
W 183.84 W.upf
N 14.01 N.upf
O 16.00 O.upf
ATOMIC_POSITIONS crystal
Sr 0.0000 0.0000 0.0000
W 0.5000 0.5000 0.5000
N 0.5000 0.5000 0.0000
O 0.0000 0.5000 0.5000
O 0.5000 0.0000 0.5000
CELL_PARAMETERS angstrom
3.9503 0.0000 0.0000
0.0000 3.9503 0.0000
0.0000 0.0000 3.9847


[20]
! SrWNO2 (PBEsol, relaxed); values from VASP
! Raw total energy: -5.5119 eV per atom
! Raw formation energy: 1423 meV/atom
! SG: No. 123
! Spin magnetization: 1.8 μB per formula unit
&SYSTEM
  ibrav = 0, nat = 5, ntyp = 4
/
ATOMIC_SPECIES
Sr 87.62 Sr.upf
W 183.84 W.upf
N 14.01 N.upf
O 16.00 O.upf
ATOMIC_POSITIONS crystal
Sr 0.0000 0.0000 0.0000
W 0.5000 0.5000 0.5000
N 0.0000 0.0000 0.5000
O 0.0000 0.5000 0.0000
O 0.5000 0.0000 0.0000
CELL_PARAMETERS angstrom
4.3156 0.0000 0.0000
0.0000 4.3156 0.0000
0.0000 0.0000 4.2994